Here is a relaxed structure of MnSiCl2 from the Alexandria database. Energies are from PBE-GGA.

Formation energy without anion corrections = -171 meV per atom
Density = 2.3 g cm⁻³
Calculated volume = 109 Å³ per cell
Polymorph energy (0 for the lowest one) = 0.916 eV per formula unit
Crystal system = orthorhombic

Cell: 7.5432 7.5432 7.5432 Å, 155.23 142.42 45.54°
Closest atoms and distances in Å follow each position.
Atoms (fractional coordinates):
Mn  0.0000  0.0000  0.0000  2 Cl 2.36, 2 Si 2.53
Si  0.8602  0.3602  0.5000  2 Cl 2.49, 2 Mn 2.53
Cl  0.1235  0.6235  0.5000  2 Mn 2.36
Cl  0.3996  0.3996  0.0000  2 Si 2.49